# HfPaRh4 GGA-PBE relaxed
# - N(E_F): 16.98 states/eV per cell
# - E_tot: -8.726 eV/atom
# - ρ: 12.3 g/cm³
# - Volume: 444.5 Å³ per cell
data_HfPaRh4
_cell_length_a 4.116
_cell_length_b 26.984
_cell_length_c 4.002
_cell_angle_alpha 90.00
_cell_angle_beta 90.00
_cell_angle_gamma 90.00
_symmetry_space_group_name_H-M 'C m m m'
_symmetry_Int_Tables_number 65
_symmetry_space_group_name_Hall '-C 2 2'
loop_
_atom_site_label
_atom_site_type_symbol
_atom_site_fract_x
_atom_site_fract_y
_atom_site_fract_z
Hf1 Hf 0.000 0.063 0.000
Pa1 Pa 0.000 0.303 0.500
Rh1 Rh 0.000 0.000 0.500
Rh2 Rh 0.000 0.132 0.500
Rh3 Rh 0.000 0.210 0.000
Rh4 Rh 0.000 0.370 0.000
Rh5 Rh 0.000 0.500 0.000